# Ag2IrPb2O6

Ag2IrPb2O6 after structural relaxation (GGA-PBE, Alexandria).

The structure in POSCAR format:
```
Ag2IrPb2O6
1.0
5.9907 -0.1251 0.7814
-3.0697 5.1460 0.7814
-0.3858 -0.6632 6.3719
Ag Ir Pb O
2 1 2 6
direct
0.8603 0.1397 0.0000
0.1397 0.8603 0.0000
0.0000 0.0000 0.5000
0.3378 0.6622 0.5000
0.6622 0.3378 0.5000
0.6956 0.6956 0.6603
0.9676 0.2502 0.6713
0.3044 0.3044 0.3397
0.2502 0.9676 0.6713
0.0324 0.7498 0.3287
0.7498 0.0324 0.3287
```

Properties
ΔE_f (raw): -0.682 eV per atom
Spin magnetization: 0.00 μB/cell

# AgIrPb2O6

AgIrPb2O6 after structural relaxation (GGA-PBE, Alexandria).

The structure in POSCAR format:
```
AgIrPb2O6
1.0
-2.6131 -2.0347 -5.0946
3.1996 -2.1727 -4.6867
-0.0306 -5.8750 -1.5512
Ag Ir Pb O
1 1 2 6
direct
0.4710 0.4710 0.4710
0.0096 0.0096 0.0096
0.2222 0.2222 0.2222
0.7001 0.7001 0.7001
0.3567 0.0918 0.8247
0.0918 0.8247 0.3567
0.9026 0.2449 0.6768
0.6768 0.9026 0.2449
0.8247 0.3567 0.0918
0.2449 0.6768 0.9026
```

Properties
ΔE_f (raw): -0.767 eV per atom
Spin magnetization: 0.00 μB/cell

# Ag2IrPd2O6

Ag2IrPd2O6 after structural relaxation (GGA-PBE, Alexandria).

The structure in POSCAR format:
```
Ag2IrPd2O6
1.0
5.4368 -0.1079 0.8116
-2.7810 4.6730 0.8116
-0.2417 -0.4155 6.3900
Ag Ir Pd O
2 1 2 6
direct
0.8377 0.1623 0.0000
0.1623 0.8377 0.0000
0.0000 0.0000 0.5000
0.3367 0.6633 0.5000
0.6633 0.3367 0.5000
0.6387 0.6387 0.6559
0.9554 0.2823 0.6618
0.3613 0.3613 0.3441
0.2823 0.9554 0.6618
0.0446 0.7177 0.3382
0.7177 0.0446 0.3382
```

Properties
ΔE_f (raw): -0.322 eV per atom
Spin magnetization: 0.00 μB/cell

# AgIrPdO6

AgIrPdO6 after structural relaxation (GGA-PBE, Alexandria).

The structure in POSCAR format:
```
AgIrPdO6
1.0
-3.7115 1.7061 3.3206
-0.9749 -4.0985 -3.1566
3.2083 -5.8337 6.5834
Ag Ir Pd O
2 2 2 12
direct
0.0000 0.0000 0.0000
0.0000 0.0000 0.5000
0.6667 0.3333 0.2500
0.3333 0.6667 0.7500
0.3333 0.6667 0.2500
0.6667 0.3333 0.7500
0.6353 0.6239 0.1352
0.9885 0.3647 0.1352
0.3647 0.9885 0.6352
0.0115 0.6353 0.8648
0.3761 0.3647 0.3648
0.9885 0.6239 0.3648
0.6239 0.9885 0.8648
0.6353 0.0115 0.3648
0.0115 0.3761 0.6352
0.3761 0.0115 0.1352
0.6239 0.6353 0.6352
0.3647 0.3761 0.8648
```

Properties
ΔE_f (raw): -0.356 eV per atom
Spin magnetization: 2.73 μB/cell

# AgIrPdO4

AgIrPdO4 after structural relaxation (GGA-PBE, Alexandria).

The structure in POSCAR format:
```
AgIrPdO4
1.0
-0.9496 -5.5086 -0.3308
1.8702 2.1466 6.2781
-5.8541 1.1108 -1.6914
Ag Ir Pd O
2 2 2 8
direct
0.8272 0.6545 0.0772
0.1728 0.3455 0.9228
0.5000 0.0000 0.5000
0.5000 0.0000 0.0000
0.5000 0.5000 0.5000
0.0000 0.5000 0.5000
0.6819 0.3639 0.6466
0.2605 0.9570 0.2285
0.6965 0.9570 0.2285
0.6819 0.3639 0.2173
0.3181 0.6361 0.7827
0.7395 0.0430 0.7715
0.3035 0.0430 0.7715
0.3181 0.6361 0.3534
```

Properties
ΔE_f (raw): -0.420 eV per atom
Spin magnetization: 0.00 μB/cell

# Pm2AgIrO8

Pm2AgIrO8 after structural relaxation (GGA-PBE, Alexandria).

The structure in POSCAR format:
```
Pm2AgIrO8
1.0
-2.2871 2.8280 -2.7653
-4.0366 -1.1116 2.8532
1.0914 5.4834 4.4618
Pm Ag Ir O
2 1 1 8
direct
0.3877 0.4876 0.7524
0.6123 0.5124 0.2476
0.0000 0.0000 0.5000
0.0000 0.0000 0.0000
0.1454 0.7042 0.1397
0.6701 0.7770 0.9528
0.8129 0.0866 0.2393
0.8546 0.2958 0.8603
0.3299 0.2230 0.0472
0.1871 0.9134 0.7607
0.7161 0.6776 0.5300
0.2839 0.3224 0.4700
```

Properties
ΔE_f (raw): -1.588 eV per atom
Spin magnetization: 0.79 μB/cell

Number 1: V 200.3 Å³/f.u.. Number 2: V 148.9 Å³/f.u.. Number 3: V 164.1 Å³/f.u.. Number 4: V 112.4 Å³/f.u.. Number 5: V 95.1 Å³/f.u.. Number 6: V 164.7 Å³/f.u..